Record 1
Compound: GeB
Source: the Alexandria database
Functional: PBE
Structure: relaxed

Lattice parameters (Å, degrees): 6.5881 6.5881 6.5881 93.66 93.66 150.71
Last column: nearest neighbours and their distance in Å.
Fractional coordinates of all 8 atoms:
1 Ge 0.1122 0.7188 0.8310  4 B 2.04-2.15
2 Ge 0.2812 0.1122 0.3933  4 B 2.04-2.15
3 Ge 0.7188 0.8878 0.6067  4 B 2.04-2.15
4 Ge 0.8878 0.2812 0.1690  4 B 2.04-2.15
5 B 0.1147 0.2795 0.3941  4 Ge 2.04-2.15
6 B 0.2795 0.8853 0.1648  4 Ge 2.04-2.15
7 B 0.7205 0.1147 0.8352  4 Ge 2.04-2.15
8 B 0.8853 0.7205 0.6059  4 Ge 2.04-2.15

Values from the calculation:
Space-group type: I4/m
Distance to the lowest polymorph of the same formula, eV/f.u.: 0.68
Magnetic moment, μB per cell: 0.0
Calculated total energy, eV per cell: -39.43
Formation energy, meV/atom: 718



Record 2
Compound: Al2HOs
Source: the Alexandria database
Functional: PBE
Structure: relaxed

Lattice parameters (Å, degrees): 4.1747 4.1747 4.1747 60.00 60.00 60.00
Last column: nearest neighbours and their distance in Å.
Fractional coordinates of all 4 atoms:
1 Al 0.2500 0.2500 0.2500  4 H 2.56, 4 Os 2.56
2 Al 0.7500 0.7500 0.7500  4 H 2.56, 4 Os 2.56
3 H 0.0000 0.0000 0.0000  8 Al 2.56
4 Os 0.5000 0.5000 0.5000  8 Al 2.56

Values from the calculation:
Space-group type: Fm-3m
Distance to the lowest polymorph of the same formula, eV/f.u.: 0.00
Magnetic moment, μB per cell: 0.0
Calculated total energy, eV per cell: -20.72



Record 3
Compound: UPd3Au2
Source: the Alexandria database
Functional: PBE
Structure: relaxed

Lattice parameters (Å, degrees): 7.8015 7.8015 5.0073 90.48 90.48 44.56
Last column: nearest neighbours and their distance in Å.
Fractional coordinates of all 12 atoms:
1 U 0.1308 0.8692 0.7500  8 Pd 2.86-3.01, 2 U 2.94, 2 Au 3.01
2 U 0.8692 0.1308 0.2500  8 Pd 2.86-3.01, 2 U 2.94, 2 Au 3.01
3 Pd 0.0380 0.2862 0.5823  6 Au 2.86-3.00, 2 U 2.86-2.91, 4 Pd 2.90-3.06
4 Pd 0.2862 0.0380 0.0823  6 Au 2.86-3.00, 2 U 2.86-2.91, 4 Pd 2.90-3.06
5 Pd 0.3779 0.6221 0.2500  4 Pd 2.89-2.91, 4 U 2.90-3.01, 4 Au 2.90-2.99
6 Pd 0.6221 0.3779 0.7500  4 Pd 2.89-2.91, 4 U 2.90-3.01, 4 Au 2.90-2.99
7 Pd 0.7138 0.9620 0.9177  6 Au 2.86-3.00, 2 U 2.86-2.91, 4 Pd 2.90-3.06
8 Pd 0.9620 0.7138 0.4177  6 Au 2.86-3.00, 2 U 2.86-2.91, 4 Pd 2.90-3.06
9 Au 0.2112 0.4499 0.9347  8 Pd 2.86-3.00, 3 Au 2.87, 1 U 3.01
10 Au 0.4499 0.2112 0.4347  8 Pd 2.86-3.00, 3 Au 2.87, 1 U 3.01
11 Au 0.5501 0.7888 0.5653  8 Pd 2.86-3.00, 3 Au 2.87, 1 U 3.01
12 Au 0.7888 0.5501 0.0653  8 Pd 2.86-3.00, 3 Au 2.87, 1 U 3.01

Values from the calculation:
Space-group type: C2/c
Distance to the lowest polymorph of the same formula, eV/f.u.: 0.24
Magnetic moment, μB per cell: 4.8
Calculated total energy, eV per cell: -69.59
Formation energy, meV/atom: -229



Record 4
Compound: ScTlCd
Source: the Alexandria database
Functional: PBE
Structure: relaxed

Lattice parameters (Å, degrees): 4.3838 4.3838 7.4421 89.94 89.84 90.00
Last column: nearest neighbours and their distance in Å.
Fractional coordinates of all 6 atoms:
1 Sc 0.2478 0.2492 0.3167  5 Tl 2.92-3.11, 4 Cd 3.22
2 Sc 0.7522 0.7508 0.6833  5 Tl 2.92-3.11, 4 Cd 3.22
3 Tl 0.2524 0.2508 0.7096  5 Sc 2.92-3.11, 4 Cd 3.07-3.08
4 Tl 0.7476 0.7492 0.2904  5 Sc 2.92-3.11, 4 Cd 3.07-3.08
5 Cd 0.2500 0.7501 0.0001  4 Tl 3.07-3.08, 4 Cd 3.10, 4 Sc 3.22
6 Cd 0.7500 0.2499 0.9999  4 Tl 3.07-3.08, 4 Cd 3.10, 4 Sc 3.22

Values from the calculation:
Space-group type: P-1
Magnetic moment, μB per cell: 0.0
Calculated total energy, eV per cell: -20.10
Formation energy, meV/atom: -145



Record 5
Compound: GaCuP2Cl
Source: the Alexandria database
Functional: PBE
Structure: relaxed

Lattice parameters (Å, degrees): 4.3165 4.3165 6.8699 90.00 90.00 90.00
Last column: nearest neighbours and their distance in Å.
Fractional coordinates of all 5 atoms:
1 Ga 0.0000 0.0000 0.0000  4 Cl 3.05
2 Cu 0.5000 0.5000 0.5000  4 P 2.16
3 P 0.0000 0.5000 0.5000  2 Cu 2.16
4 P 0.5000 0.0000 0.5000  2 Cu 2.16
5 Cl 0.5000 0.5000 0.0000  4 Ga 3.05

Values from the calculation:
Space-group type: P4/mmm
Energy relative to the elements, uncorrected, eV per formula unit: 2.260
Distance to the lowest polymorph of the same formula, eV/f.u.: 0.00
Magnetic moment, μB per cell: 0.0
Calculated total energy, eV per cell: -17.53



Record 6
Compound: NiHgW2
Source: the Alexandria database
Functional: PBE
Structure: relaxed

Lattice parameters (Å, degrees): 9.5230 9.5230 9.5230 16.99 16.99 16.99
Last column: nearest neighbours and their distance in Å.
Fractional coordinates of all 4 atoms:
1 Ni 0.0000 0.0000 0.0000  6 W 2.66, 6 Ni 2.81
2 Hg 0.5000 0.5000 0.5000  6 Hg 2.81, 6 W 3.05
3 W 0.2584 0.2584 0.2584  3 Ni 2.66, 6 W 2.81
4 W 0.7416 0.7416 0.7416  3 Ni 2.66, 6 W 2.81

Values from the calculation:
Space-group type: R-3m
Magnetic moment, μB per cell: 0.0
Calculated total energy, eV per cell: -29.69
Formation energy, meV/atom: 575



Record 7
Compound: OsBr2Cl5
Source: the Alexandria database
Functional: PBE
Structure: relaxed

Lattice parameters (Å, degrees): 6.7765 7.0824 7.1165 89.05 73.74 74.00
Last column: nearest neighbours and their distance in Å.
Fractional coordinates of all 8 atoms:
1 Os 0.0000 0.0000 0.0000  5 Cl 2.19-2.36
2 Br 0.5105 0.0051 0.5079  2 Cl 2.68-2.71
3 Br 0.5106 0.5082 0.0052  2 Cl 2.68-2.71
4 Cl 0.0741 0.2722 0.8952  1 Os 2.19
5 Cl 0.0740 0.8961 0.2711  1 Os 2.19
6 Cl 0.3353 0.8101 0.8101  1 Os 2.34
7 Cl 0.6480 0.1770 0.1772  1 Os 2.36
8 Cl 0.8543 0.8388 0.8411  1 Os 2.20

Values from the calculation:
Space-group type: P1
Energy relative to the elements, uncorrected, eV per formula unit: -0.571
Magnetic moment, μB per cell: 0.0
Calculated total energy, eV per cell: -24.38



Record 8
Compound: NaGaPbCl6
Source: the Alexandria database
Functional: PBE
Structure: relaxed

Lattice parameters (Å, degrees): 6.7423 6.7423 6.1143 90.00 90.00 120.00
Last column: nearest neighbours and their distance in Å.
Fractional coordinates of all 9 atoms:
1 Na 0.0000 0.0000 0.0000  6 Cl 2.75
2 Ga 0.3333 0.6667 0.0000  6 Cl 2.41
3 Pb 0.6667 0.3333 0.5000  6 Cl 2.94
4 Cl 0.0438 0.3722 0.2279  1 Ga 2.41
5 Cl 0.0438 0.6717 0.7721  1 Ga 2.41
6 Cl 0.3283 0.3722 0.7721  1 Ga 2.41
7 Cl 0.3283 0.9562 0.2279  1 Ga 2.41
8 Cl 0.6278 0.6717 0.2279  1 Ga 2.41
9 Cl 0.6278 0.9562 0.7721  1 Ga 2.41

Values from the calculation:
Space-group type: P312
Energy relative to the elements, uncorrected, eV per formula unit: -11.005
Magnetic moment, μB per cell: 0.0
Calculated total energy, eV per cell: -30.14